# CsTi2CrO

Crystalline CsTi2CrO at its relaxed geometry (GGA+U, Alexandria).

Computed properties:
- volume (Å³ per cell) = 103.3
- total magnetic moment (Bohr magnetons per cell) = 1.31
- D(E_F) (states/eV/cell) = 2.8
- calculated total energy (eV per atom) = -5.932

Cell lengths 4.2187, 4.2187, 5.8048 Å; angles 90.00, 90.00, 90.00 degrees
Space group P4/mmm (No. 123)
Inequivalent atoms, fractional coordinates:
1 Cs 0.0000 0.0000 0.0000
2 Ti 0.0000 0.5000 0.5000
3 Cr 0.5000 0.5000 0.0000
4 O 0.0000 0.0000 0.5000